P | Here is crystalline HoHfRh4 at its relaxed geometry from Alexandria. Energies are from PBE.

```
6
Lattice="0.0000 3.7175 3.7175 3.7175 0.0000 3.7175 3.7175 3.7175 0.0000" Properties=species:S:1:pos:R:3 pbc="T T T"
Ho 0.0000 0.0000 0.0000
Hf 5.5762 5.5762 5.5762
Rh 2.7889 2.7889 2.7889
Rh 4.6460 4.6460 2.7889
Rh 4.6460 2.7889 4.6460
Rh 2.7889 4.6460 4.6460
```

Output
**ρ**: 12.20 g/cm³
**Space-group type**: No. 216

***

Q | Here is crystalline HoHfRh4 at its relaxed geometry from Alexandria. Energies are from PBE.

```
6
Lattice="3.8336 0.0000 0.0000 0.0000 3.8336 0.0000 0.0000 0.0000 8.0453" Properties=species:S:1:pos:R:3 pbc="T T T"
Ho 0.0000 0.0000 0.0000
Hf 1.9168 1.9168 4.0226
Rh 0.0000 1.9168 2.1397
Rh 0.0000 1.9168 5.9056
Rh 1.9168 0.0000 2.1397
Rh 1.9168 0.0000 5.9056
```

Output
**ρ**: 10.60 g/cm³
**Space-group type**: No. 123

***

Least stable of them? Q.

***

P | Here is crystalline HoHfRu2 at its relaxed geometry from Alexandria. Energies are from PBE.

```
16
Lattice="6.6144 0.0000 0.0000 0.0000 6.6144 0.0000 0.0000 0.0000 6.6144" Properties=species:S:1:pos:R:3 pbc="T T T"
Ho 0.0000 0.0000 0.0000
Ho 0.0000 3.3072 3.3072
Ho 3.3072 0.0000 3.3072
Ho 3.3072 3.3072 0.0000
Hf 0.0000 0.0000 3.3072
Hf 0.0000 3.3072 0.0000
Hf 3.3072 0.0000 0.0000
Hf 3.3072 3.3072 3.3072
Ru 1.6536 1.6536 1.6536
Ru 1.6536 1.6536 4.9608
Ru 1.6536 4.9608 1.6536
Ru 1.6536 4.9608 4.9608
Ru 4.9608 1.6536 1.6536
Ru 4.9608 1.6536 4.9608
Ru 4.9608 4.9608 1.6536
Ru 4.9608 4.9608 4.9608
```

Output
**ρ**: 12.52 g/cm³
**Space-group type**: No. 225

***

Q | Here is crystalline HoHfRu2 at its relaxed geometry from Alexandria. Energies are from PBE.

```
4
Lattice="3.2945 0.0000 0.0000 0.0000 3.2945 0.0000 0.0000 0.0000 6.6896" Properties=species:S:1:pos:R:3 pbc="T T T"
Ho 0.0000 0.0000 0.0000
Hf 0.0000 0.0000 3.3448
Ru 1.6473 1.6473 1.7939
Ru 1.6473 1.6473 4.8957
```

Output
**ρ**: 12.48 g/cm³
**Space-group type**: No. 123

***

Least stable of them? P.

***

P | Here is crystalline HoHfS at its relaxed geometry from Alexandria. Energies are from PBE.

```
12
Lattice="3.4098 0.0000 0.0000 0.0000 5.1617 0.0000 0.0000 0.0000 15.3702" Properties=species:S:1:pos:R:3 pbc="T T T"
Ho 0.0000 0.0000 2.5975
Ho 0.0000 0.0000 12.7728
Ho 1.7049 2.5809 5.0877
Ho 1.7049 2.5809 10.2826
Hf 0.0000 1.2909 7.6851
Hf 0.0000 3.8708 7.6851
Hf 1.7049 1.2900 0.0000
Hf 1.7049 3.8718 0.0000
S 0.0000 0.0000 5.2822
S 0.0000 0.0000 10.0881
S 1.7049 2.5809 2.4030
S 1.7049 2.5809 12.9673
```

Output
**ρ**: 9.22 g/cm³
**Space-group type**: No. 71

***

Q | Here is crystalline HoHfS at its relaxed geometry from Alexandria. Energies are from PBE.

```
3
Lattice="4.4702 0.0000 0.0000 -2.2351 3.8713 0.0000 0.0000 0.0000 3.8248" Properties=species:S:1:pos:R:3 pbc="T T T"
Ho 0.0000 0.0000 0.0000
Hf 0.0000 2.5809 1.9124
S 2.2351 1.2904 1.9124
```

Output
**ρ**: 9.42 g/cm³
**Space-group type**: No. 187

***

Least stable of them? Q.

***

P | Here is crystalline HoHfSc6 at its relaxed geometry from Alexandria. Energies are from PBE.

```
8
Lattice="6.6137 0.0000 0.0000 0.0000 6.6137 0.0000 0.0000 0.0000 4.5229" Properties=species:S:1:pos:R:3 pbc="T T T"
Ho 0.0000 0.0000 0.0000
Hf 3.3069 3.3069 0.0000
Sc 0.0000 3.3069 0.0000
Sc 1.7314 1.7314 2.2614
Sc 1.7314 4.8823 2.2614
Sc 3.3069 0.0000 0.0000
Sc 4.8823 1.7314 2.2614
Sc 4.8823 4.8823 2.2614
```

Output
**ρ**: 5.15 g/cm³
**Space-group type**: No. 123

***

Q | Here is crystalline HoHfSc6 at its relaxed geometry from Alexandria. Energies are from PBE.

```
8
Lattice="6.6578 0.0000 0.0000 -3.3289 5.7658 0.0000 0.0000 0.0000 5.1690" Properties=species:S:1:pos:R:3 pbc="T T T"
Ho 0.0000 0.0000 0.0000
Hf 3.3289 1.9219 2.5845
Sc 0.0000 1.9536 2.5845
Sc -1.6370 4.7890 2.5845
Sc 3.3289 0.0384 0.0000
Sc 1.6977 2.8637 0.0000
Sc 1.6370 4.7890 2.5845
Sc 4.9601 2.8637 0.0000
```

Output
**ρ**: 5.13 g/cm³
**Space-group type**: No. 187

***

Least stable of them? P.

***

P | Here is crystalline HoHfSc2 at its relaxed geometry from Alexandria. Energies are from PBE.

```
4
Lattice="3.2636 0.0000 0.0000 0.0000 3.2606 0.0000 -0.0089 0.0000 9.4340" Properties=species:S:1:pos:R:3 pbc="T T T"
Ho 0.0000 0.0000 0.0000
Hf -0.0045 0.0000 4.7170
Sc 1.6283 1.6303 2.5506
Sc 1.6264 1.6303 6.8834
```

Output
**ρ**: 7.17 g/cm³
**Space-group type**: No. 10

***

Q | Here is crystalline HoHfSc2 at its relaxed geometry from Alexandria. Energies are from PBE.

```
12
Lattice="3.2871 0.0000 0.0000 -1.6436 2.8467 0.0000 0.0000 0.0000 32.2472" Properties=species:S:1:pos:R:3 pbc="T T T"
Ho 0.0000 0.0000 0.0000
Ho 0.0000 1.8978 21.4981
Ho 1.6436 0.9489 10.7491
Hf 0.0000 0.0000 16.1236
Hf 0.0000 1.8978 5.3745
Hf 1.6436 0.9489 26.8726
Sc 0.0000 0.0000 7.8901
Sc 0.0000 0.0000 24.3570
Sc 0.0000 1.8978 13.6080
Sc 0.0000 1.8978 29.3882
Sc 1.6436 0.9489 2.8589
Sc 1.6436 0.9489 18.6392
```

Output
**ρ**: 7.15 g/cm³
**Space-group type**: No. 166

***

Least stable of them? Q.

***

P | Here is crystalline HoHfSc at its relaxed geometry from Alexandria. Energies are from PBE.

```
6
Lattice="3.3074 0.0000 0.0000 0.0000 4.5616 0.0000 0.0000 0.0000 10.1238" Properties=species:S:1:pos:R:3 pbc="T T T"
Ho 0.8268 1.1404 0.9736
Ho 2.4805 3.4212 9.1502
Hf 0.8268 1.1404 4.3185
Hf 2.4805 3.4212 5.8053
Sc 0.8268 1.1404 7.3673
Sc 2.4805 3.4212 2.7565
```

Output
**ρ**: 8.44 g/cm³
**Space-group type**: No. 59

***

Q | Here is crystalline HoHfSc at its relaxed geometry from Alexandria. Energies are from PBE.

```
12
Lattice="6.4110 0.0000 0.0000 0.0000 6.4225 0.0000 -1.6199 0.0000 7.5374" Properties=species:S:1:pos:R:3 pbc="T T T"
Ho 0.8407 0.0000 1.3514
Ho 0.7450 3.2113 6.1860
Ho 4.0461 3.2113 1.3514
Ho 3.9505 0.0000 6.1860
Hf 0.7351 3.2113 1.4589
Hf 0.8505 0.0000 6.0785
Hf 3.9406 0.0000 1.4589
Hf 4.0560 3.2113 6.0785
Sc -0.8099 1.6209 3.7687
Sc -0.8099 4.8016 3.7687
Sc 2.3956 1.5904 3.7687
Sc 2.3956 4.8322 3.7687
```

Output
**ρ**: 8.31 g/cm³
**Space-group type**: No. 12

***

R | Here is crystalline HoHfSc at its relaxed geometry from Alexandria. Energies are from PBE.

```
6
Lattice="3.2771 0.0000 0.0000 0.0000 3.2771 0.0000 0.0000 0.0000 14.2552" Properties=species:S:1:pos:R:3 pbc="T T T"
Ho 0.0000 0.0000 0.0000
Ho 1.6385 1.6385 7.1276
Hf 0.0000 0.0000 9.4733
Hf 1.6385 1.6385 2.3457
Sc 0.0000 0.0000 4.4802
Sc 1.6385 1.6385 11.6078
```

Output
**ρ**: 8.43 g/cm³
**Space-group type**: No. 107

***

S | Here is crystalline HoHfSc at its relaxed geometry from Alexandria. Energies are from PBE.

```
6
Lattice="3.2776 0.0000 0.0000 0.0000 5.1190 0.0000 0.0000 0.0000 9.1801" Properties=species:S:1:pos:R:3 pbc="T T T"
Ho 0.8194 1.2798 1.0299
Ho 2.4582 3.8393 8.1502
Hf 0.8194 3.8393 5.0717
Hf 2.4582 1.2798 4.1084
Sc 0.8194 1.2798 6.7713
Sc 2.4582 3.8393 2.4089
```

Output
**ρ**: 8.37 g/cm³
**Space-group type**: No. 59

***

Least stable of them? Q.

***

P | Here is crystalline HoHfSe2 at its relaxed geometry from Alexandria. Energies are from PBE.

```
12
Lattice="3.7096 0.0000 0.0000 -1.8548 3.2126 0.0000 0.0000 0.0000 26.8095" Properties=species:S:1:pos:R:3 pbc="T T T"
Ho 0.0000 0.0000 0.0000
Ho 0.0000 2.1418 17.8730
Ho 1.8548 1.0709 8.9365
Hf 0.0000 0.0000 13.4047
Hf 0.0000 2.1418 4.4683
Hf 1.8548 1.0709 22.3412
Se 0.0000 0.0000 2.8356
Se 0.0000 0.0000 23.9739
Se 0.0000 2.1418 15.0374
Se 0.0000 2.1418 20.7086
Se 1.8548 1.0709 6.1009
Se 1.8548 1.0709 11.7721
```

Output
**ρ**: 7.82 g/cm³
**Space-group type**: No. 166

***

Q | Here is crystalline HoHfSe2 at its relaxed geometry from Alexandria. Energies are from PBE.

```
12
Lattice="3.6583 0.0000 0.0000 -1.8291 3.1682 0.0000 0.0000 0.0000 22.2933" Properties=species:S:1:pos:R:3 pbc="T T T"
Ho 0.0000 0.0000 0.0000
Ho 0.0000 2.1121 14.8622
Ho 1.8291 1.0561 7.4311
Hf 0.0000 0.0000 3.7039
Hf 0.0000 2.1121 18.5661
Hf 1.8291 1.0561 11.1350
Se 0.0000 0.0000 9.3892
Se 0.0000 0.0000 12.8640
Se 0.0000 2.1121 1.9581
Se 0.0000 2.1121 5.4329
Se 1.8291 1.0561 16.8203
Se 1.8291 1.0561 20.2951
```

Output
**ρ**: 9.67 g/cm³
**Space-group type**: No. 160

***

Least stable of them? P.

***

P | Here is crystalline Ho2HfSn at its relaxed geometry from Alexandria. Energies are from PBE.

```
4
Lattice="4.6431 0.0000 0.0000 0.0000 4.6431 0.0000 0.0000 0.0000 4.6676" Properties=species:S:1:pos:R:3 pbc="T T T"
Ho 0.0000 2.3216 0.0000
Ho 2.3216 0.0000 0.0000
Hf 0.0000 0.0000 2.3338
Sn 2.3216 2.3216 2.3338
```

Output
**ρ**: 10.35 g/cm³
**Space-group type**: No. 123

***

Q | Here is crystalline Ho2HfSn at its relaxed geometry from Alexandria. Energies are from PBE.

```
12
Lattice="3.4365 0.0000 0.0000 -1.7183 2.9761 0.0000 0.0000 0.0000 31.3369" Properties=species:S:1:pos:R:3 pbc="T T T"
Ho 0.0000 0.0000 7.8339
Ho 0.0000 0.0000 23.5030
Ho 0.0000 1.9841 13.0574
Ho 0.0000 1.9841 28.7251
Ho 1.7183 0.9920 2.6118
Ho 1.7183 0.9920 18.2795
Hf 0.0000 0.0000 0.0000
Hf 0.0000 1.9841 20.8913
Hf 1.7183 0.9920 10.4456
Sn 0.0000 0.0000 15.6684
Sn 0.0000 1.9841 5.2228
Sn 1.7183 0.9920 26.1140
```

Output
**ρ**: 9.75 g/cm³
**Space-group type**: No. 166

***

Least stable of them? Q.

***

P | Here is crystalline TbHoHf at its relaxed geometry from Alexandria. Energies are from PBE.

```
6
Lattice="3.3477 0.0000 0.0000 1.6728 6.2302 0.0000 1.6696 1.5949 8.0658" Properties=species:S:1:pos:R:3 pbc="T T T"
Tb 0.8344 0.9872 1.6519
Tb 5.8557 6.8379 6.4139
Ho 2.5078 3.9995 1.3800
Ho 4.1824 3.8256 6.6858
Hf 2.5084 2.5364 4.1737
Hf 4.1818 5.2887 3.8921
```

Output
**ρ**: 9.92 g/cm³
**Space-group type**: No. 2

***

Q | Here is crystalline TbHoHf at its relaxed geometry from Alexandria. Energies are from PBE.

```
6
Lattice="4.6330 0.0000 0.0000 0.0000 4.6330 0.0000 0.0000 0.0000 8.2015" Properties=species:S:1:pos:R:3 pbc="T T T"
Tb 1.1583 1.1583 1.7371
Tb 3.4748 3.4748 6.4644
Ho 1.1583 1.1583 6.4282
Ho 3.4748 3.4748 1.7733
Hf 1.1583 3.4748 4.1008
Hf 3.4748 1.1583 4.1008
```

Output
**ρ**: 9.48 g/cm³
**Space-group type**: No. 129

***

Least stable of them? Q.

***

P | Here is crystalline TbHoHf at its relaxed geometry from Alexandria. Energies are from PBE.

```
6
Lattice="3.3595 0.0000 0.0000 0.0000 3.3595 0.0000 0.0000 0.0000 14.8039" Properties=species:S:1:pos:R:3 pbc="T T T"
Tb 0.0000 0.0000 0.0000
Tb 1.6797 1.6797 7.4019
Ho 0.0000 0.0000 4.5900
Ho 1.6797 1.6797 11.9919
Hf 0.0000 0.0000 9.7157
Hf 1.6797 1.6797 2.3137
```

Output
**ρ**: 9.99 g/cm³
**Space-group type**: No. 107

***

Q | Here is crystalline TbHoHf at its relaxed geometry from Alexandria. Energies are from PBE.

```
6
Lattice="3.3868 0.0000 0.0000 0.0000 4.6939 0.0000 0.0000 0.0000 10.4534" Properties=species:S:1:pos:R:3 pbc="T T T"
Tb 0.8467 1.1735 0.9522
Tb 2.5401 3.5204 9.5011
Ho 0.8467 1.1735 7.6286
Ho 2.5401 3.5204 2.8248
Hf 0.8467 1.1735 4.5104
Hf 2.5401 3.5204 5.9429
```

Output
**ρ**: 10.04 g/cm³
**Space-group type**: No. 59

***

Least stable of them? Q.

***

P | Here is crystalline Tb2HoHf at its relaxed geometry from Alexandria. Energies are from PBE.

```
12
Lattice="3.4411 0.0000 0.0000 -1.7205 2.9801 0.0000 0.0000 0.0000 33.5499" Properties=species:S:1:pos:R:3 pbc="T T T"
Tb 0.0000 0.0000 0.0000
Tb 0.0000 0.0000 5.9251
Tb 0.0000 1.9867 22.3666
Tb 0.0000 1.9867 28.2917
Tb 1.7205 0.9934 11.1833
Tb 1.7205 0.9934 17.1084
Ho 0.0000 0.0000 25.3330
Ho 0.0000 1.9867 14.1497
Ho 1.7205 0.9934 2.9663
Hf 0.0000 0.0000 19.7400
Hf 0.0000 1.9867 8.5567
Hf 1.7205 0.9934 30.9234
```

Output
**ρ**: 9.57 g/cm³
**Space-group type**: No. 160

***

Q | Here is crystalline Tb2HoHf at its relaxed geometry from Alexandria. Energies are from PBE.

```
4
Lattice="3.9897 0.0000 0.0000 0.0000 3.9897 0.0000 0.0000 0.0000 7.2365" Properties=species:S:1:pos:R:3 pbc="T T T"
Tb 0.0000 0.0000 1.6191
Tb 0.0000 0.0000 5.6174
Ho 1.9949 1.9949 3.6182
Hf 1.9949 1.9949 0.0000
```

Output
**ρ**: 9.53 g/cm³
**Space-group type**: No. 123

***

Least stable of them? Q.

***

P | Here is crystalline Tb2HoHf at its relaxed geometry from Alexandria. Energies are from PBE.

```
4
Lattice="4.8494 0.0000 0.0000 0.0000 4.8494 0.0000 0.0000 0.0000 4.8335" Properties=species:S:1:pos:R:3 pbc="T T T"
Tb 0.0000 2.4247 0.0000
Tb 2.4247 0.0000 0.0000
Ho 0.0000 0.0000 2.4167
Hf 2.4247 2.4247 2.4167
```

Output
**ρ**: 9.66 g/cm³
**Space-group type**: No. 123

***

Q | Here is crystalline Tb2HoHf at its relaxed geometry from Alexandria. Energies are from PBE.

```
12
Lattice="3.3391 0.0000 0.0000 -1.6696 2.8918 0.0000 0.0000 0.0000 35.9001" Properties=species:S:1:pos:R:3 pbc="T T T"
Tb 0.0000 0.0000 3.1020
Tb 0.0000 0.0000 32.7981
Tb 0.0000 1.9278 20.8314
Tb 0.0000 1.9278 27.0354
Tb 1.6696 0.9639 8.8647
Tb 1.6696 0.9639 15.0687
Ho 0.0000 0.0000 17.9500
Ho 0.0000 1.9278 5.9834
Ho 1.6696 0.9639 29.9167
Hf 0.0000 0.0000 0.0000
Hf 0.0000 1.9278 23.9334
Hf 1.6696 0.9639 11.9667
```

Output
**ρ**: 9.50 g/cm³
**Space-group type**: No. 166

***

Least stable of them? Q.

***

P | Here is crystalline HoHfTh2 at its relaxed geometry from Alexandria. Energies are from PBE.

```
12
Lattice="3.3646 0.0000 0.0000 -1.6823 2.9138 0.0000 0.0000 0.0000 36.4620" Properties=species:S:1:pos:R:3 pbc="T T T"
Ho 0.0000 0.0000 0.0000
Ho 0.0000 1.9425 24.3080
Ho 1.6823 0.9713 12.1540
Hf 0.0000 0.0000 18.2310
Hf 0.0000 1.9425 6.0770
Hf 1.6823 0.9713 30.3850
Th 0.0000 0.0000 15.1881
Th 0.0000 0.0000 21.2739
Th 0.0000 1.9425 3.0341
Th 0.0000 1.9425 9.1199
Th 1.6823 0.9713 27.3421
Th 1.6823 0.9713 33.4279
```

Output
**ρ**: 11.25 g/cm³
**Space-group type**: No. 166

***

Q | Here is crystalline HoHfTh2 at its relaxed geometry from Alexandria. Energies are from PBE.

```
16
Lattice="7.7342 0.0000 0.0000 0.0000 7.7342 0.0000 0.0000 0.0000 7.7342" Properties=species:S:1:pos:R:3 pbc="T T T"
Ho 0.0000 0.0000 0.0000
Ho 0.0000 3.8671 3.8671
Ho 3.8671 0.0000 3.8671
Ho 3.8671 3.8671 0.0000
Hf 0.0000 0.0000 3.8671
Hf 0.0000 3.8671 0.0000
Hf 3.8671 0.0000 0.0000
Hf 3.8671 3.8671 3.8671
Th 1.9335 1.9335 1.9335
Th 1.9335 1.9335 5.8006
Th 1.9335 5.8006 1.9335
Th 1.9335 5.8006 5.8006
Th 5.8006 1.9335 1.9335
Th 5.8006 1.9335 5.8006
Th 5.8006 5.8006 1.9335
Th 5.8006 5.8006 5.8006
```

Output
**ρ**: 11.59 g/cm³
**Space-group type**: No. 225

***

Least stable of them? P.